No. 1
Computed, not measured: Mg2HgPd2 after structural relaxation at the PBE level of DFT.

Output
Its energy above the lowest structure with this stoichiometry is 270 meV per atom.

abc: 3.8367 3.8367 13.5354
angles: 90.00 90.00 90.00
With the nearest neighbours (Å) after each atom.
Space group I4/mmm (No. 139)
Symmetry-distinct sites (fractional):
1 Mg 0.0000 0.0000 0.1116 [4 per cell]  4 Pd 2.68
2 Hg 0.0000 0.0000 0.5000 [2 per cell]  8 Mg 3.10
3 Pd 0.0000 0.5000 0.2500 [4 per cell]  4 Mg 2.68, 4 Pd 2.71

***

No. 2
Computed, not measured: TaTiVIr after structural relaxation at the PBE level of DFT.

abc: 3.1623 4.3540 4.4980
angles: 90.00 90.00 90.00
With the nearest neighbours (Å) after each atom.
Space group Pmmm (No. 47)
Symmetry-distinct sites (fractional):
1 Ta 0.0000 0.0000 0.0000 [1 per cell]  4 V 2.69, 4 Ir 2.75
2 Ti 0.0000 0.5000 0.5000 [1 per cell]  4 Ir 2.69, 4 V 2.75
3 V 0.5000 0.5000 0.0000 [1 per cell]  4 Ta 2.69, 4 Ti 2.75
4 Ir 0.5000 0.0000 0.5000 [1 per cell]  4 Ti 2.69, 4 Ta 2.75

***

Computed values of energy of formation (unit: eV/atom) for the preceding records, in sequence: -0.2541, -0.4692.
Computed values of V (unit: A^3/atom) for the preceding records, in sequence: 19.9, 15.5.